DFT (PBE-GGA) results for a relaxed structure of IrOsPt2.

Cell: 2.765 3.881 5.597 Å, 90.00 90.00 90.00°
Space group Pmm2 (No. 25)
One atom of each set of equivalent atoms:
Ir: 0.000 0.000 0.000 [1 per cell]
Os: 0.500 0.500 0.224 [1 per cell]
Pt: 0.000 0.000 0.479 [1 per cell]
Pt: 0.500 0.500 0.738 [1 per cell]

**V**: 15.01 Å³/atom
**Total energy**: -0.5874 Ry/atom